VASP calculation (PBE with a Hubbard U) on a geometry-optimized Li4Mn7P6O24 structure.

Output
For the theoretical density, the calculation gives 3.164 g cm⁻³. Its density of states at the Fermi level is 0.000 states/eV/atom. The crystal system is monoclinic. Its calculated volume is 12.57 Å³ per atom. For the raw total energy, the calculation gives -7.30 eV/atom. As for the space-group type: No. 8.

Lattice parameters (Å, degrees): 9.039 9.039 6.732 80.49 80.49 103.46
Fractional positions:
Li (0.808, 0.808, 0.434)
Li (0.593, 0.376, 0.502)
Li (0.376, 0.593, 0.502)
Li (0.133, 0.133, 0.597)
Mn (0.990, 0.352, 0.189)
Mn (0.352, 0.990, 0.189)
Mn (0.644, 0.336, 0.003)
Mn (0.336, 0.644, 0.003)
Mn (0.989, 0.989, 0.008)
Mn (0.631, 0.992, 0.810)
Mn (0.992, 0.631, 0.810)
P (0.893, 0.274, 0.707)
P (0.274, 0.893, 0.707)
P (0.667, 0.667, 0.099)
P (0.313, 0.313, 0.902)
P (0.705, 0.085, 0.295)
P (0.085, 0.705, 0.295)
O (0.573, 0.749, 0.959)
O (0.749, 0.573, 0.959)
O (0.791, 0.791, 0.157)
O (0.942, 0.375, 0.866)
O (0.375, 0.942, 0.866)
O (0.882, 0.097, 0.779)
O (0.097, 0.882, 0.779)
O (0.720, 0.277, 0.707)
O (0.277, 0.720, 0.707)
O (0.555, 0.555, 0.290)
O (0.424, 0.424, 0.710)
O (0.106, 0.884, 0.217)
O (0.884, 0.106, 0.217)
O (0.691, 0.253, 0.304)
O (0.253, 0.691, 0.304)
O (0.657, 0.962, 0.500)
O (0.962, 0.657, 0.500)
O (0.188, 0.188, 0.848)
O (0.606, 0.033, 0.136)
O (0.033, 0.606, 0.136)
O (0.408, 0.232, 0.040)
O (0.232, 0.408, 0.040)
O (0.329, 0.011, 0.500)
O (0.011, 0.329, 0.500)